Entry 1:
Entry from the Alexandria database: an optimized crystal structure of NdB2Ru (GGA-PBE).

ρ = 8.3 g/cm³
crystal system = orthorhombic
calculated total energy = -7.086 eV/atom
SG = No. 63
energy relative to the elements = -236 meV/atom

Structure (CIF):
```
data_NdB2Ru
_cell_length_a 6.294
_cell_length_b 6.294
_cell_length_c 5.228
_cell_angle_alpha 90.00
_cell_angle_beta 90.00
_cell_angle_gamma 149.06
_symmetry_space_group_name_H-M 'P 1'
_symmetry_Int_Tables_number 1
_symmetry_space_group_name_Hall 'P 1'
loop_
_atom_site_label
_atom_site_fract_x
_atom_site_fract_y
_atom_site_fract_z
_atom_site_occupancy
Nd1 0.221 0.779 0.750 1
Nd2 0.779 0.221 0.250 1
B1 0.436 0.564 0.079 1
B2 0.436 0.564 0.421 1
B3 0.564 0.436 0.579 1
B4 0.564 0.436 0.921 1
Ru1 0.043 0.957 0.250 1
Ru2 0.957 0.043 0.750 1
```

Entry 2:
Entry from the Alexandria database: an optimized crystal structure of CaMg4Sb (GGA-PBE).

ρ = 2.8 g/cm³
crystal system = cubic
calculated total energy = -2.144 eV/atom
SG = No. 216
raw formation energy = -0.060 eV/atom

Structure (CIF):
```
data_CaMg4Sb
_cell_length_a 6.046
_cell_length_b 6.046
_cell_length_c 6.046
_cell_angle_alpha 60.00
_cell_angle_beta 60.00
_cell_angle_gamma 60.00
_symmetry_space_group_name_H-M 'P 1'
_symmetry_Int_Tables_number 1
_symmetry_space_group_name_Hall 'P 1'
loop_
_atom_site_label
_atom_site_fract_x
_atom_site_fract_y
_atom_site_fract_z
_atom_site_occupancy
Ca1 0.000 0.000 0.000 1
Mg1 0.126 0.625 0.625 1
Mg2 0.625 0.126 0.625 1
Mg3 0.625 0.625 0.126 1
Mg4 0.625 0.625 0.625 1
Sb1 0.250 0.250 0.250 1
```